Arrangement one

Density functional theory data (PBE-GGA) for a geometry-optimized LiP5 structure.

Structure (CIF):
```
data_LiP5
_chemical_formula_sum 'Li2 P10'
_cell_length_a 3.916
_cell_length_b 3.185
_cell_length_c 16.602
_cell_angle_alpha 90.00
_cell_angle_beta 90.00
_cell_angle_gamma 90.00
_space_group_name_H-M_alt 'A m m 2'
_space_group_IT_number 38
loop_
_space_group_symop_operation_xyz
'x,y,z'
'-x,-y,z'
'-x,y,z'
'x,-y,z'
'x,y+1/2,z+1/2'
'-x,-y+1/2,z+1/2'
'-x,y+1/2,z+1/2'
'x,-y+1/2,z+1/2'
loop_
_atom_site_label
_atom_site_type_symbol
_atom_site_fract_x
_atom_site_fract_y
_atom_site_fract_z
Li1 Li 0.000 0.000 0.000
P1 P 0.000 0.000 0.361
P2 P 0.000 0.000 0.648
P3 P 0.500 0.000 0.283
P4 P 0.500 0.000 0.571
P5 P 0.500 0.000 0.880
```



Arrangement two

Density functional theory data (PBE-GGA) for a geometry-optimized LiP5 structure.

Structure (CIF):
```
data_LiP5
_chemical_formula_sum 'Li4 P20'
_cell_length_a 10.502
_cell_length_b 6.681
_cell_length_c 6.598
_cell_angle_alpha 90.00
_cell_angle_beta 90.00
_cell_angle_gamma 90.00
_space_group_name_H-M_alt 'P n a 21'
_space_group_IT_number 33
loop_
_space_group_symop_operation_xyz
'x,y,z'
'-x,-y,z+1/2'
'-x+1/2,y+1/2,z+1/2'
'x+1/2,-y+1/2,z'
loop_
_atom_site_label
_atom_site_type_symbol
_atom_site_fract_x
_atom_site_fract_y
_atom_site_fract_z
Li1 Li 0.079 0.044 0.000
P1 P 0.084 0.585 0.368
P2 P 0.093 0.599 0.853
P3 P 0.129 0.111 0.628
P4 P 0.192 0.446 0.110
P5 P 0.193 0.422 0.610
```



Arrangement three

Density functional theory data (PBE-GGA) for a geometry-optimized LiP5 structure.

Structure (CIF):
```
data_LiP5
_chemical_formula_sum 'Li1 P5'
_cell_length_a 4.7907
_cell_length_b 4.7907
_cell_length_c 4.5852
_cell_angle_alpha 90.00
_cell_angle_beta 90.00
_cell_angle_gamma 120.00
_space_group_name_H-M_alt 'P -6 2 m'
_space_group_IT_number 189
_space_group_name_Hall 'P -6 -2'
loop_
_atom_site_label
_atom_site_type_symbol
_atom_site_fract_x
_atom_site_fract_y
_atom_site_fract_z
Li1 Li 0.0000 0.0000 0.0000
P1 P 0.0000 0.7298 0.5000
P2 P 0.3333 0.6667 0.0000
```



Arrangement four

Density functional theory data (PBE-GGA) for a geometry-optimized LiP5 structure.

Structure (CIF):
```
data_LiP5
_chemical_formula_sum 'Li2 P10'
_cell_length_a 10.381
_cell_length_b 2.552
_cell_length_c 7.726
_cell_angle_alpha 90.00
_cell_angle_beta 103.83
_cell_angle_gamma 90.00
_space_group_name_H-M_alt 'C 1 m 1'
_space_group_IT_number 8
loop_
_space_group_symop_operation_xyz
'x,y,z'
'x,-y,z'
'x+1/2,y+1/2,z'
'x+1/2,-y+1/2,z'
loop_
_atom_site_label
_atom_site_type_symbol
_atom_site_fract_x
_atom_site_fract_y
_atom_site_fract_z
Li1 Li 0.000 0.000 0.000
P1 P 0.048 0.500 0.315
P2 P 0.167 0.000 0.687
P3 P 0.221 0.500 0.963
P4 P 0.349 0.000 0.357
P5 P 0.375 0.000 0.657
```



Most favorable structure: arrangement two. The second most favorable one is 0.329 eV/atom above it.



Arrangement one

Density functional theory data (PBE-GGA) for a geometry-optimized Li3P4 structure.

Structure (CIF):
```
data_Li3P4
_chemical_formula_sum 'Li6 P8'
_cell_length_a 3.329
_cell_length_b 3.329
_cell_length_c 19.191
_cell_angle_alpha 90.00
_cell_angle_beta 90.00
_cell_angle_gamma 90.00
_space_group_name_H-M_alt 'I 4/m m m'
_space_group_IT_number 139
_space_group_name_Hall '-I 4 2'
loop_
_atom_site_label
_atom_site_type_symbol
_atom_site_fract_x
_atom_site_fract_y
_atom_site_fract_z
Li1 Li 0.000 0.000 0.000
Li2 Li 0.000 0.000 0.280
P1 P 0.000 0.000 0.141
P2 P 0.000 0.000 0.400
```



Arrangement two

Density functional theory data (PBE-GGA) for a geometry-optimized Li3P4 structure.

Structure (CIF):
```
data_Li3P4
_chemical_formula_sum 'Li3 P4'
_cell_length_a 5.0819
_cell_length_b 5.0819
_cell_length_c 4.6642
_cell_angle_alpha 90.00
_cell_angle_beta 90.00
_cell_angle_gamma 120.00
_space_group_name_H-M_alt 'P 6/m m m'
_space_group_IT_number 191
_space_group_name_Hall '-P 6 2'
loop_
_atom_site_label
_atom_site_type_symbol
_atom_site_fract_x
_atom_site_fract_y
_atom_site_fract_z
Li1 Li 0.0000 0.5000 0.0000
P1 P 0.0000 0.0000 0.2181
P2 P 0.3333 0.6667 0.5000
```



Most favorable structure: arrangement one. The second most favorable one is 0.172 eV/atom above it.



Arrangement one

Density functional theory data (PBE-GGA) for a geometry-optimized Li3P5 structure.

Structure (CIF):
```
data_Li3P5
_chemical_formula_sum 'Li6 P10'
_cell_length_a 6.904
_cell_length_b 7.779
_cell_length_c 4.145
_cell_angle_alpha 90.00
_cell_angle_beta 90.00
_cell_angle_gamma 90.00
_space_group_name_H-M_alt 'C m m m'
_space_group_IT_number 65
_space_group_name_Hall '-C 2 2'
loop_
_atom_site_label
_atom_site_type_symbol
_atom_site_fract_x
_atom_site_fract_y
_atom_site_fract_z
Li1 Li 0.000 0.000 0.000
Li2 Li 0.215 0.500 0.500
P1 P 0.000 0.224 0.500
P2 P 0.000 0.500 0.000
P3 P 0.250 0.250 0.000
```



Arrangement two

Density functional theory data (PBE-GGA) for a geometry-optimized Li3P5 structure.

Structure (CIF):
```
data_Li3P5
_chemical_formula_sum 'Li12 P20'
_cell_length_a 6.091
_cell_length_b 15.561
_cell_length_c 6.377
_cell_angle_alpha 90.00
_cell_angle_beta 108.16
_cell_angle_gamma 90.00
_space_group_name_H-M_alt 'C 1 m 1'
_space_group_IT_number 8
loop_
_space_group_symop_operation_xyz
'x,y,z'
'x,-y,z'
'x+1/2,y+1/2,z'
'x+1/2,-y+1/2,z'
loop_
_atom_site_label
_atom_site_type_symbol
_atom_site_fract_x
_atom_site_fract_y
_atom_site_fract_z
Li1 Li 0.000 0.000 0.000
Li2 Li 0.007 0.283 0.746
Li3 Li 0.032 0.000 0.478
Li4 Li 0.374 0.170 0.228
P1 P 0.042 0.188 0.408
P2 P 0.103 0.500 0.099
P3 P 0.196 0.430 0.632
P4 P 0.333 0.070 0.847
P5 P 0.436 0.314 0.068
P6 P 0.437 0.000 0.364
```



Most favorable structure: arrangement two. The second most favorable one is 0.150 eV/atom above it.



Arrangement one

Density functional theory data (PBE-GGA) for a geometry-optimized Li4P structure.

Structure (CIF):
```
data_Li4P
_chemical_formula_sum 'Li4 P1'
_cell_length_a 4.708
_cell_length_b 4.708
_cell_length_c 4.708
_cell_angle_alpha 90.00
_cell_angle_beta 90.00
_cell_angle_gamma 90.00
_space_group_name_H-M_alt 'P m -3 m'
_space_group_IT_number 221
_space_group_name_Hall '-P 4 2 3'
loop_
_atom_site_label
_atom_site_type_symbol
_atom_site_fract_x
_atom_site_fract_y
_atom_site_fract_z
Li1 Li 0.000 0.000 0.000
Li2 Li 0.000 0.500 0.500
P1 P 0.500 0.500 0.500
```



Arrangement two

Density functional theory data (PBE-GGA) for a geometry-optimized Li4P structure.

Structure (CIF):
```
data_Li4P
_chemical_formula_sum 'Li8 P2'
_cell_length_a 5.712
_cell_length_b 5.712
_cell_length_c 5.712
_cell_angle_alpha 90.00
_cell_angle_beta 90.00
_cell_angle_gamma 90.00
_space_group_name_H-M_alt 'I m -3 m'
_space_group_IT_number 229
_space_group_name_Hall '-I 4 2 3'
loop_
_atom_site_label
_atom_site_type_symbol
_atom_site_fract_x
_atom_site_fract_y
_atom_site_fract_z
Li1 Li 0.250 0.250 0.250
P1 P 0.000 0.000 0.000
```



Most favorable structure: arrangement two. The second most favorable one is 0.071 eV/atom above it.



Arrangement one

Density functional theory data (PBE-GGA) for a geometry-optimized LiPaP2 structure.

Structure (CIF):
```
data_LiPaP2
_chemical_formula_sum 'Li1 Pa1 P2'
_cell_length_a 4.471
_cell_length_b 4.471
_cell_length_c 3.536
_cell_angle_alpha 90.00
_cell_angle_beta 90.00
_cell_angle_gamma 90.00
_space_group_name_H-M_alt 'P 4/m m m'
_space_group_IT_number 123
_space_group_name_Hall '-P 4 2'
loop_
_atom_site_label
_atom_site_type_symbol
_atom_site_fract_x
_atom_site_fract_y
_atom_site_fract_z
Li1 Li 0.000 0.000 0.000
Pa1 Pa 0.500 0.500 0.000
P1 P 0.000 0.500 0.500
```



Arrangement two

Density functional theory data (PBE-GGA) for a geometry-optimized LiPaP2 structure.

Structure (CIF):
```
data_LiPaP2
_chemical_formula_sum 'Li3 Pa3 P6'
_cell_length_a 4.3717
_cell_length_b 4.3717
_cell_length_c 12.8083
_cell_angle_alpha 90.00
_cell_angle_beta 90.00
_cell_angle_gamma 120.00
_space_group_name_H-M_alt 'R -3 m'
_space_group_IT_number 166
_space_group_name_Hall '-R 3 2"'
loop_
_atom_site_label
_atom_site_type_symbol
_atom_site_fract_x
_atom_site_fract_y
_atom_site_fract_z
Li1 Li 0.0000 0.0000 0.0000
Pa1 Pa 0.0000 0.0000 0.5000
P1 P 0.0000 0.0000 0.2636
```



Most favorable structure: arrangement two. The second most favorable one is 0.047 eV/atom above it.